Material: VAg2Cl2O2
Method: DFT, PBE+U
State: relaxed

Values from the calculation:
Total magnetization   1.0 μB per formula unit
N(E_F)   0.0 states/eV per cell
Final energy   -32.1 eV per cell

CIF file:
```
data_VAg2Cl2O2
_space_group_name_H-M_alt 'P 1'
_space_group_IT_number 1
_space_group_name_Hall 'P 1'
_cell_length_a 6.274
_cell_length_b 6.274
_cell_length_c 6.346
_cell_angle_alpha 114.20
_cell_angle_beta 114.20
_cell_angle_gamma 34.00
loop_
_atom_site_label
_atom_site_fract_x
_atom_site_fract_y
_atom_site_fract_z
_atom_site_occupancy
V1 0.000 0.000 0.000 1
Ag1 0.213 0.213 0.664 1
Ag2 0.787 0.787 0.336 1
Cl1 0.422 0.422 0.181 1
Cl2 0.578 0.578 0.819 1
O1 0.143 0.143 0.252 1
O2 0.857 0.857 0.748 1
```